1 | # GGA-PBE CaCrBr, relaxed
data_CaCrBr
_cell_length_a 4.8546
_cell_length_b 4.8546
_cell_length_c 3.7690
_cell_angle_alpha 90.00
_cell_angle_beta 90.00
_cell_angle_gamma 120.00
_space_group_name_H-M_alt 'P -6 m 2'
_space_group_IT_number 187
_space_group_name_Hall 'P -6 2'
loop_
_atom_site_label
_atom_site_type_symbol
_atom_site_fract_x
_atom_site_fract_y
_atom_site_fract_z
Ca1 Ca 0.0000 0.0000 0.0000
Cr1 Cr 0.3333 0.6667 0.5000
Br1 Br 0.6667 0.3333 0.5000
# **Fermi-level density of states**: 2.234 states/eV/cell
# **Total magnetization**: 4.76 Bohr magnetons per cell

=====

2 | # GGA-PBE CaCrBr, relaxed
data_CaCrBr
_cell_length_a 7.2856
_cell_length_b 7.2856
_cell_length_c 7.2856
_cell_angle_alpha 90.00
_cell_angle_beta 90.00
_cell_angle_gamma 90.00
_space_group_name_H-M_alt 'F -4 3 m'
_space_group_IT_number 216
_space_group_name_Hall 'F -4 2 3'
loop_
_atom_site_label
_atom_site_type_symbol
_atom_site_fract_x
_atom_site_fract_y
_atom_site_fract_z
Ca1 Ca 0.0000 0.0000 0.0000
Cr1 Cr 0.2500 0.2500 0.2500
Br1 Br 0.0000 0.0000 0.5000
# **Fermi-level density of states**: 9.386 states/eV/cell
# **Total magnetization**: 20.83 Bohr magnetons per cell

=====

Most stable structure: 1

=====

1 | # GGA-PBE CaCrBr2, relaxed
data_CaCrBr2
_cell_length_a 4.0412
_cell_length_b 4.2346
_cell_length_c 6.1591
_cell_angle_alpha 90.00
_cell_angle_beta 90.00
_cell_angle_gamma 90.00
_space_group_name_H-M_alt 'P m m m'
_space_group_IT_number 47
_space_group_name_Hall '-P 2 2'
loop_
_atom_site_label
_atom_site_type_symbol
_atom_site_fract_x
_atom_site_fract_y
_atom_site_fract_z
Ca1 Ca 0.0000 0.0000 0.0000
Cr1 Cr 0.5000 0.0000 0.5000
Br1 Br 0.0000 0.5000 0.5000
Br2 Br 0.5000 0.5000 0.0000
# **Fermi-level density of states**: 1.614 states/eV/cell
# **Total magnetization**: 5.33 Bohr magnetons per cell

=====

2 | # GGA-PBE CaCrBr2, relaxed
data_CaCrBr2
_cell_length_a 5.0182
_cell_length_b 5.0182
_cell_length_c 3.9023
_cell_angle_alpha 90.00
_cell_angle_beta 90.00
_cell_angle_gamma 90.00
_space_group_name_H-M_alt 'P 4/m m m'
_space_group_IT_number 123
_space_group_name_Hall '-P 4 2'
loop_
_atom_site_label
_atom_site_type_symbol
_atom_site_fract_x
_atom_site_fract_y
_atom_site_fract_z
Ca1 Ca 0.0000 0.0000 0.0000
Cr1 Cr 0.5000 0.5000 0.0000
Br1 Br 0.0000 0.5000 0.5000
# **Fermi-level density of states**: 1.300 states/eV/cell
# **Total magnetization**: 5.32 Bohr magnetons per cell

=====

3 | # GGA-PBE CaCrBr2, relaxed
data_CaCrBr2
_cell_length_a 12.8616
_cell_length_b 4.2959
_cell_length_c 5.0657
_cell_angle_alpha 90.00
_cell_angle_beta 96.59
_cell_angle_gamma 90.00
_space_group_name_H-M_alt 'C 1 2/m 1'
_space_group_IT_number 12
_space_group_name_Hall '-C 2y'
loop_
_atom_site_label
_atom_site_type_symbol
_atom_site_fract_x
_atom_site_fract_y
_atom_site_fract_z
Ca1 Ca 0.0000 0.0000 0.0000
Cr1 Cr 0.0000 0.5000 0.5000
Br1 Br 0.1434 0.5000 0.2085
# **Fermi-level density of states**: 1.555 states/eV/cell
# **Total magnetization**: 8.21 Bohr magnetons per cell

=====

4 | # GGA-PBE CaCrBr2, relaxed
data_CaCrBr2
_cell_length_a 3.5683
_cell_length_b 3.5683
_cell_length_c 10.4131
_cell_angle_alpha 90.00
_cell_angle_beta 90.00
_cell_angle_gamma 90.00
_space_group_name_H-M_alt 'P 4/m m m'
_space_group_IT_number 123
_space_group_name_Hall '-P 4 2'
loop_
_atom_site_label
_atom_site_type_symbol
_atom_site_fract_x
_atom_site_fract_y
_atom_site_fract_z
Ca1 Ca 0.0000 0.0000 0.0000
Cr1 Cr 0.0000 0.0000 0.5000
Br1 Br 0.5000 0.5000 0.1642
# **Fermi-level density of states**: 0.877 states/eV/cell
# **Total magnetization**: 5.20 Bohr magnetons per cell

=====

Most stable structure: 3

=====

1 | # GGA-PBE CaCr2Br, relaxed
data_CaCr2Br
_cell_length_a 3.4540
_cell_length_b 3.4835
_cell_length_c 15.6029
_cell_angle_alpha 90.00
_cell_angle_beta 90.00
_cell_angle_gamma 90.00
_space_group_name_H-M_alt 'A m m 2'
_space_group_IT_number 38
_space_group_name_Hall 'A 2 -2'
loop_
_atom_site_label
_atom_site_type_symbol
_atom_site_fract_x
_atom_site_fract_y
_atom_site_fract_z
Ca1 Ca 0.0000 0.0000 0.0000
Cr1 Cr 0.0000 0.0000 0.8013
Cr2 Cr 0.5000 0.0000 0.3536
Br1 Br 0.5000 0.0000 0.6082
# **Fermi-level density of states**: 4.429 states/eV/cell
# **Total magnetization**: 0.63 Bohr magnetons per cell

=====

2 | # GGA-PBE CaCr2Br, relaxed
data_CaCr2Br
_cell_length_a 3.4809
_cell_length_b 3.4809
_cell_length_c 8.4010
_cell_angle_alpha 90.00
_cell_angle_beta 90.00
_cell_angle_gamma 90.00
_space_group_name_H-M_alt 'P 4 m m'
_space_group_IT_number 99
_space_group_name_Hall 'P 4 -2'
loop_
_atom_site_label
_atom_site_type_symbol
_atom_site_fract_x
_atom_site_fract_y
_atom_site_fract_z
Ca1 Ca 0.0000 0.0000 0.0000
Cr1 Cr 0.0000 0.0000 0.3671
Cr2 Cr 0.5000 0.5000 0.2770
Br1 Br 0.5000 0.5000 0.8065
# **Fermi-level density of states**: 1.990 states/eV/cell
# **Total magnetization**: 0.37 Bohr magnetons per cell

=====

Most stable structure: 1

=====

1 | # GGA-PBE CaCr2Br, relaxed
data_CaCr2Br
_cell_length_a 3.7257
_cell_length_b 4.6393
_cell_length_c 5.8831
_cell_angle_alpha 90.00
_cell_angle_beta 90.00
_cell_angle_gamma 90.00
_space_group_name_H-M_alt 'P m m m'
_space_group_IT_number 47
_space_group_name_Hall '-P 2 2'
loop_
_atom_site_label
_atom_site_type_symbol
_atom_site_fract_x
_atom_site_fract_y
_atom_site_fract_z
Ca1 Ca 0.0000 0.0000 0.0000
Cr1 Cr 0.0000 0.5000 0.5000
Cr2 Cr 0.5000 0.0000 0.5000
Br1 Br 0.5000 0.5000 0.0000
# **Fermi-level density of states**: 2.668 states/eV/cell
# **Total magnetization**: 9.55 Bohr magnetons per cell

=====

2 | # GGA-PBE CaCr2Br, relaxed
data_CaCr2Br
_cell_length_a 3.5741
_cell_length_b 5.6981
_cell_length_c 9.4055
_cell_angle_alpha 90.00
_cell_angle_beta 90.00
_cell_angle_gamma 90.00
_space_group_name_H-M_alt 'I m m 2'
_space_group_IT_number 44
_space_group_name_Hall 'I 2 -2'
loop_
_atom_site_label
_atom_site_type_symbol
_atom_site_fract_x
_atom_site_fract_y
_atom_site_fract_z
Ca1 Ca 0.0000 0.0000 0.0000
Cr1 Cr 0.0000 0.0000 0.4856
Cr2 Cr 0.0000 0.5000 0.1758
Br1 Br 0.0000 0.5000 0.7616
# **Fermi-level density of states**: 5.181 states/eV/cell
# **Total magnetization**: 0.21 Bohr magnetons per cell

=====

3 | # GGA-PBE CaCr2Br, relaxed
data_CaCr2Br
_cell_length_a 3.5216
_cell_length_b 3.5216
_cell_length_c 27.8785
_cell_angle_alpha 90.00
_cell_angle_beta 90.00
_cell_angle_gamma 120.00
_space_group_name_H-M_alt 'R -3 m'
_space_group_IT_number 166
_space_group_name_Hall '-R 3 2"'
loop_
_atom_site_label
_atom_site_type_symbol
_atom_site_fract_x
_atom_site_fract_y
_atom_site_fract_z
Ca1 Ca 0.0000 0.0000 0.0000
Cr1 Cr 0.0000 0.0000 0.2400
Br1 Br 0.0000 0.0000 0.5000
# **Fermi-level density of states**: 8.845 states/eV/cell
# **Total magnetization**: 27.17 Bohr magnetons per cell

=====

Most stable structure: 2